Zn2TcAu | PBE-GGA | optimized geometry

Cell lengths 2.796, 3.606, 6.021 Å; angles 90.00, 90.00, 90.00 degrees
Element x y z (fractional)
Zn1 0.000 0.000 0.238
Zn2 0.000 0.000 0.762
Tc1 0.500 0.500 0.000
Au1 0.500 0.500 0.500

Calculated values
Size of the total moment = 0.00 μB/cell
Space group = Pmmm, No. 47
Offset from the most stable computed form = 46 meV/atom
ΔH_f (0 K) = 18.6 kJ/mol of formula units
Total DFT energy (no corrections) = -0.2940 Ry/atom